1.
Compound: NaSrIn2
Source: Alexandria
Functional: PBE-GGA
Structure: relaxed

Cell lengths 4.8674, 8.5322, 11.9712 Å; angles 90.00, 90.00, 90.00 degrees
Sites, in units of the cell vectors:
Na  0.7500  0.0474  0.5963
In  0.2500  0.0715  0.1449
Na  0.2500  0.4526  0.0963
Sr  0.7500  0.7871  0.1811
In  0.7500  0.4285  0.6449
In  0.2500  0.3037  0.5281
Sr  0.2500  0.7129  0.6811
Na  0.2500  0.9526  0.4037
In  0.7500  0.1963  0.0281
Sr  0.7500  0.2871  0.3189
Sr  0.2500  0.2129  0.8189
In  0.7500  0.9285  0.8551
In  0.7500  0.6963  0.4719
Na  0.7500  0.5474  0.9037
In  0.2500  0.5715  0.3551
In  0.2500  0.8037  0.9719

Calculated formation energy (eV/atom): -0.31
Excess energy over the best structure of this formula in the dataset (meV per atom): 0
SG: Pnma, No. 62
Spin magnetization (μB/f.u.): 0.00

2.
Compound: NaSr2In6
Source: Alexandria
Functional: PBE-GGA
Structure: relaxed

Cell lengths 3.9455, 8.8368, 8.8368 Å; angles 60.07, 89.99, 89.99 degrees
Sites, in units of the cell vectors:
In  0.5015  0.0002  0.3310
In  0.4985  0.6690  0.9998
Sr  0.9999  0.6667  0.6667
Na  0.0000  0.0000  0.0000
In  0.4985  0.9998  0.6690
In  0.5015  0.3310  0.0002
In  0.5000  0.3315  0.6685
In  0.5000  0.6685  0.3315
Sr  0.0001  0.3333  0.3333

Calculated formation energy (eV/atom): -0.30
SG: C2/m, No. 12
Spin magnetization (μB/f.u.): 0.00

3.
Compound: NaSrIn6
Source: Alexandria
Functional: PBE-GGA
Structure: relaxed

Cell lengths 5.1231, 6.9083, 6.9083 Å; angles 113.34, 90.00, 90.00 degrees
Sites, in units of the cell vectors:
In  0.0000  0.0480  0.3675
In  0.0000  0.5782  0.4218
In  0.5000  0.8741  0.5671
Na  0.0000  0.1153  0.8847
In  0.5000  0.4329  0.1259
In  0.0000  0.6325  0.9520
In  0.5000  0.9327  0.0673
Sr  0.5000  0.3860  0.6140

Calculated formation energy (eV/atom): -0.19
Excess energy over the best structure of this formula in the dataset (meV per atom): 0
SG: Amm2, No. 38
Spin magnetization (μB/f.u.): 0.00

4.
Compound: NaSr4In3
Source: Alexandria
Functional: PBE-GGA
Structure: relaxed

Cell lengths 5.8143, 8.3413, 11.6246 Å; angles 90.00, 90.00, 90.00 degrees
Sites, in units of the cell vectors:
Sr  0.9993  0.2411  0.2500
In  0.0000  0.0000  0.0000
In  0.5007  0.5000  0.7500
Sr  0.5000  0.7588  0.5000
In  0.5010  0.0000  0.7500
Sr  0.0007  0.7589  0.7500
Sr  0.0007  0.2411  0.7500
Sr  0.5000  0.2412  0.0000
In  0.4990  0.0000  0.2500
Sr  0.5000  0.7588  0.0000
Na  0.0000  0.5000  0.0000
Sr  0.5000  0.2412  0.5000
Sr  0.9993  0.7589  0.2500
Na  0.0000  0.5000  0.5000
In  0.0000  0.0000  0.5000
In  0.4993  0.5000  0.2500

Calculated formation energy (eV/atom): -0.33
SG: Pmma, No. 51
Spin magnetization (μB/f.u.): 0.00

5.
Compound: NaSr3In4
Source: Alexandria
Functional: PBE-GGA
Structure: relaxed

Cell lengths 4.0076, 4.0076, 15.9781 Å; angles 90.00, 90.00, 90.00 degrees
Sites, in units of the cell vectors:
In  0.0000  0.0000  0.3757
Sr  0.5000  0.5000  0.7590
Sr  0.5000  0.5000  0.5000
In  0.0000  0.0000  0.1015
In  0.0000  0.0000  0.6243
In  0.0000  0.0000  0.8985
Sr  0.5000  0.5000  0.2410
Na  0.5000  0.5000  0.0000

Calculated formation energy (eV/atom): -0.33
SG: P4/mmm, No. 123
Spin magnetization (μB/f.u.): 0.00

6.
Compound: Na4SrIn4
Source: Alexandria
Functional: PBE-GGA
Structure: relaxed

Cell lengths 6.9852, 6.9852, 11.2290 Å; angles 90.00, 90.00, 90.00 degrees
Sites, in units of the cell vectors:
In  0.7761  0.5000  0.2230
Na  0.2247  0.5000  0.9281
Na  0.5000  0.7753  0.0719
Sr  0.0000  0.0000  0.0000
Sr  0.5000  0.5000  0.5000
In  0.2239  0.5000  0.2230
In  0.5000  0.2239  0.7770
In  0.0000  0.2761  0.7230
Na  0.2753  0.0000  0.5719
In  0.7239  0.0000  0.2770
Na  0.0000  0.7247  0.4281
Na  0.0000  0.2753  0.4281
In  0.5000  0.7761  0.7770
Na  0.5000  0.2247  0.0719
Na  0.7753  0.5000  0.9281
In  0.2761  0.0000  0.2770
Na  0.7247  0.0000  0.5719
In  0.0000  0.7239  0.7230

Calculated formation energy (eV/atom): -0.04
SG: P4_2/nmc, No. 137
Spin magnetization (μB/f.u.): 0.00